No. 1
# FePSe2

Crystalline FePSe2 at its relaxed geometry (PBE, Alexandria).

Unit cell a=7.4571 b=3.4452 c=6.9576 alpha=90.00 beta=108.41 gamma=90.00
With the nearest neighbours (Å) after each atom.
Space group Cm (No. 8)
Symmetry-distinct sites (fractional):
Fe1 0.0000 0.0000 0.0000  3 P 2.23-2.28, 4 Se 2.45
P1 0.2989 0.0000 0.0001  3 Fe 2.23-2.28, 2 Se 2.30
Se1 0.0772 0.5000 0.2643  1 P 2.30, 2 Fe 2.45
Se2 0.4221 0.0000 0.7360  1 P 2.30, 2 Fe 2.45

Summary:
VASP energy: -5.370 eV per atom
M_tot: 0.8 μB per cell

No. 2
# Fe2PSe

Crystalline Fe2PSe at its relaxed geometry (PBE, Alexandria).

Unit cell a=6.1002 b=6.1002 c=6.1002 alpha=90.00 beta=90.00 gamma=90.00
With the nearest neighbours (Å) after each atom.
Space group F-43m (No. 216)
Symmetry-distinct sites (fractional):
Fe1 0.0000 0.0000 0.0000  4 Se 2.64, 4 Fe 2.64
Fe2 0.2500 0.2500 0.2500  4 Fe 2.64, 4 P 2.64
P1 0.0000 0.0000 0.5000  4 Fe 2.64, 4 Se 2.64
Se1 0.2500 0.2500 0.7500  4 Fe 2.64, 4 P 2.64

Summary:
VASP energy: -5.894 eV per atom
M_tot: 20.8 μB per cell

No. 3
# FePSe2

Crystalline FePSe2 at its relaxed geometry (PBE, Alexandria).

Unit cell a=3.1898 b=3.1898 c=7.2298 alpha=90.00 beta=90.00 gamma=90.00
With the nearest neighbours (Å) after each atom.
Space group P4mm (No. 99)
Symmetry-distinct sites (fractional):
Fe1 0.0000 0.0000 0.0000  4 P 2.44, 5 Se 2.47-2.72
P1 0.5000 0.5000 0.1277  4 Fe 2.44, 1 Se 2.45
Se1 0.0000 0.0000 0.3420  1 Fe 2.47, 4 P 2.74
Se2 0.5000 0.5000 0.7889  1 P 2.45, 4 Fe 2.72

Summary:
VASP energy: -5.017 eV per atom
M_tot: 1.6 μB per cell

No. 4
# Fe2PSe

Crystalline Fe2PSe at its relaxed geometry (PBE, Alexandria).

Unit cell a=3.4647 b=3.4647 c=9.0826 alpha=90.00 beta=90.00 gamma=90.00
With the nearest neighbours (Å) after each atom.
Space group I-4m2 (No. 119)
Symmetry-distinct sites (fractional):
Fe1 0.0000 0.0000 0.0000  4 Se 2.45
Fe2 0.0000 0.5000 0.2500  4 P 2.45
P1 0.0000 0.5000 0.7500  4 Fe 2.45
Se1 0.0000 0.0000 0.5000  4 Fe 2.45

Summary:
VASP energy: -6.130 eV per atom
M_tot: 8.4 μB per cell

No. 5
# FePSe2

Crystalline FePSe2 at its relaxed geometry (PBE, Alexandria).

Unit cell a=3.4394 b=7.0915 c=7.4024 alpha=90.00 beta=90.00 gamma=90.00
With the nearest neighbours (Å) after each atom.
Space group Immm (No. 71)
Symmetry-distinct sites (fractional):
Fe1 0.0000 0.0000 0.0000  4 Se 2.46
P1 0.0000 0.5000 0.0000  4 Se 2.48
Se1 0.0000 0.2527 0.5000  2 Fe 2.46, 2 P 2.48

Summary:
VASP energy: -4.747 eV per atom
M_tot: 6.5 μB per cell

No. 6
# FePSe3

Crystalline FePSe3 at its relaxed geometry (PBE, Alexandria).

Unit cell a=4.6612 b=4.6612 c=4.6612 alpha=90.00 beta=90.00 gamma=90.00
With the nearest neighbours (Å) after each atom.
Space group Pm-3m (No. 221)
Symmetry-distinct sites (fractional):
Fe1 0.0000 0.0000 0.0000  6 Se 2.33
P1 0.5000 0.5000 0.5000  12 Se 3.30
Se1 0.0000 0.0000 0.5000  2 Fe 2.33

Summary:
VASP energy: -4.225 eV per atom
M_tot: 2.2 μB per cell

No. 7
# FePSe2

Crystalline FePSe2 at its relaxed geometry (PBE, Alexandria).

Unit cell a=3.2271 b=3.2271 c=24.9776 alpha=90.00 beta=90.00 gamma=120.00
With the nearest neighbours (Å) after each atom.
Space group R3m (No. 160, hexagonal axes)
Symmetry-distinct sites (fractional):
Fe1 0.0000 0.0000 0.0000  3 Se 2.37, 3 P 2.43
P1 0.0000 0.0000 0.7290  3 Fe 2.43, 3 Se 2.49
Se1 0.0000 0.0000 0.2745  3 Fe 2.37
Se2 0.0000 0.0000 0.4618  3 P 2.49

Summary:
VASP energy: -5.173 eV per atom
M_tot: 4.5 μB per cell

No. 8
# Fe7PSe

Crystalline Fe7PSe at its relaxed geometry (PBE, Alexandria).

Unit cell a=5.2187 b=6.7726 c=6.8617 alpha=98.92 beta=94.37 gamma=109.27
With the nearest neighbours (Å) after each atom.
Space group P1 (No. 1)
Symmetry-distinct sites (fractional):
Fe1 0.0000 0.0000 0.0000  2 P 2.23, 1 Se 2.28, 2 Fe 2.47-2.49
Fe2 0.0013 0.3714 0.1781  1 P 2.34, 6 Fe 2.40-2.62, 1 Se 2.45
Fe3 0.0519 0.9396 0.5764  1 P 2.21
Fe4 0.1469 0.7734 0.2486  8 Fe 2.48-2.69, 1 Se 2.65
Fe5 0.2078 0.5690 0.5312  1 P 2.29, 1 Se 2.36, 3 Fe 2.39-2.54
Fe6 0.2638 0.1765 0.3409  1 P 2.42, 6 Fe 2.43-2.58, 1 Se 2.50
Fe7 0.3113 0.5921 0.9565  2 P 2.14-2.21
Fe8 0.4238 0.3166 0.6934  1 P 2.39, 6 Fe 2.43-2.66, 1 Se 2.45
Fe9 0.4964 0.0311 0.9081  2 P 2.24-2.35, 1 Fe 2.49
Fe10 0.5366 0.9582 0.5182  4 Fe 2.36-2.63, 2 Se 2.37-2.44
Fe11 0.5762 0.5577 0.3292  2 Se 2.36-2.48, 1 P 2.39, 2 Fe 2.47-2.58
Fe12 0.6449 0.7458 0.7313  1 P 2.31, 7 Fe 2.36-2.53
Fe13 0.7772 0.5436 0.9787  2 P 2.30-2.36, 5 Fe 2.40-2.55
Fe14 0.9252 0.2415 0.7850  1 Se 2.44, 8 Fe 2.47-2.66, 1 P 2.61
P1 0.0829 0.7429 0.7997  7 Fe 2.14-2.35
P2 0.3593 0.2991 0.0325  8 Fe 2.21-2.42
Se1 0.6672 0.8686 0.1908  4 Fe 2.28-2.44
Se2 0.7632 0.3091 0.4682  7 Fe 2.36-2.50

Summary:
VASP energy: -7.554 eV per atom
M_tot: 30.0 μB per cell

No. 9
# FeP3Se

Crystalline FeP3Se at its relaxed geometry (PBE, Alexandria).

Unit cell a=4.3699 b=4.3699 c=4.3699 alpha=90.00 beta=90.00 gamma=90.00
With the nearest neighbours (Å) after each atom.
Space group Pm-3m (No. 221)
Symmetry-distinct sites (fractional):
Fe1 0.0000 0.0000 0.0000  6 P 2.18
P1 0.0000 0.0000 0.5000  2 Fe 2.18
Se1 0.5000 0.5000 0.5000  12 P 3.09

Summary:
VASP energy: -5.130 eV per atom
M_tot: 0.5 μB per cell

No. 10
# Fe2PSe

Crystalline Fe2PSe at its relaxed geometry (PBE, Alexandria).

Unit cell a=5.8455 b=5.8577 c=2.9256 alpha=90.00 beta=90.00 gamma=90.00
With the nearest neighbours (Å) after each atom.
Space group Cmmm (No. 65)
Symmetry-distinct sites (fractional):
Fe1 0.2500 0.2500 0.0000  4 Se 2.53, 4 P 2.53
P1 0.0000 0.0000 0.5000  8 Fe 2.53
Se1 0.0000 0.5000 0.5000  8 Fe 2.53

Summary:
VASP energy: -6.311 eV per atom
M_tot: 5.8 μB per cell

No. 11
# FePSe2

Crystalline FePSe2 at its relaxed geometry (PBE, Alexandria).

Unit cell a=6.3618 b=3.1008 c=7.9692 alpha=90.00 beta=103.56 gamma=90.00
With the nearest neighbours (Å) after each atom.
Space group C2/m (No. 12)
Symmetry-distinct sites (fractional):
Fe1 0.0000 0.0000 0.0000  6 Se 2.38
P1 0.0000 0.5000 0.5000  2 Se 2.55
Se1 0.1396 0.5000 0.8273  3 Fe 2.38, 1 P 2.55

Summary:
VASP energy: -4.988 eV per atom
M_tot: 1.8 μB per cell

No. 12
# Fe2PSe

Crystalline Fe2PSe at its relaxed geometry (PBE, Alexandria).

Unit cell a=4.2915 b=3.4493 c=7.7593 alpha=90.00 beta=90.00 gamma=90.00
With the nearest neighbours (Å) after each atom.
Space group Amm2 (No. 38)
Symmetry-distinct sites (fractional):
Fe1 0.0000 0.0000 0.0000  2 P 2.16, 2 Se 2.36
Fe2 0.5000 0.0000 0.4387  3 Se 2.26-2.43, 2 P 2.30
P1 0.0000 0.0000 0.3315  4 Fe 2.16-2.30
Se1 0.5000 0.0000 0.1261  5 Fe 2.26-2.43

Summary:
VASP energy: -6.592 eV per atom
M_tot: 0.0 μB per cell